[1]
9
Lattice="-4.785 -3.419 -3.034 1.859 -4.543 2.189 -7.215 -3.717 5.011" Properties=species:S:1:pos:R:3 comment="In5Hg2Bi2 | Alexandria | PBE-GGA | relaxed" energy_ev_per_cell=-21.780 m_tot_mub_per_cell=0.00 polymorph_energy_mev_per_atom=0.0 pbc="T T T"
Hg -4.423 -3.362 3.377
Hg -5.718 -8.317 0.789
In -8.802 -8.632 2.755
In -6.728 -5.234 1.447
Bi -6.381 -7.006 4.075
In 0.000 0.000 0.000
In -1.339 -3.047 1.410
In -3.413 -6.445 2.718
Bi -3.760 -4.673 0.091

---

[2]
9
Lattice="-0.414 4.455 -0.727 -5.849 0.345 5.446 7.924 1.155 2.563" Properties=species:S:1:pos:R:3 comment="In6HgBi2 | Alexandria | PBE-GGA | relaxed" energy_ev_per_cell=-24.101 m_tot_mub_per_cell=0.00 polymorph_energy_mev_per_atom=24.5 pbc="T T T"
In -1.622 0.096 1.511
In 1.694 1.151 6.082
In -3.651 2.431 2.843
Bi 3.231 0.848 3.351
In 0.596 2.809 2.738
Hg -0.321 2.234 -0.257
Bi -1.091 0.649 4.597
In -3.935 0.605 5.945
In 4.648 2.936 1.207

---

Number 1: energy relative to the elements 0.3 eV per formula unit. Number 2: energy relative to the elements 0.4 eV per formula unit.